A geometry-optimized Cs2YMgF6 structure, computed with PBE-GGA.

The calculation puts the uncorrected formation energy at -3.10 eV/atom. The electronic total energy comes out at -5.204 eV per atom. The density comes out at 4.6 Mg/m³. As for the density of states at the Fermi level: 3.58 states/eV per cell.

It has space group Immm (No. 71), with a = 6.1160 Å, b = 6.6131 Å, c = 8.7273 Å, α = 90.00°, β = 90.00° and γ = 90.00°. Symmetry generates all atoms from Cs at (0.0000, 0.0000, 0.2435), Y at (0.0000, 0.5000, 0.5000), Mg at (0.0000, 0.5000, 0.0000), F at (0.0000, 0.5000, 0.2412) and F at (0.2465, 0.2847, 0.0000).

---

A geometry-optimized CsYMgF6 structure, computed with PBE-GGA.

The calculation puts the uncorrected formation energy at -3.64 eV/atom. The electronic total energy comes out at -5.875 eV per atom. The density comes out at 3.5 Mg/m³. As for the density of states at the Fermi level: 0.00 states/eV per cell.

It has space group Imma (No. 74), with a = 7.6531 Å, b = 8.1181 Å, c = 10.8483 Å, α = 90.00°, β = 90.00° and γ = 90.00°. Symmetry generates all atoms from Cs at (0.0000, 0.2500, 0.0750), Y at (0.0000, 0.0000, 0.5000), Mg at (0.2500, 0.2500, 0.7500), F at (0.0000, 0.2500, 0.4144), F at (0.0000, 0.2500, 0.7893) and F at (0.2146, 0.0735, 0.6197).

---

A geometry-optimized Cs2YMg3F12 structure, computed with PBE-GGA.

The calculation puts the uncorrected formation energy at -3.31 eV/atom. The electronic total energy comes out at -5.275 eV per atom. The density comes out at 3.5 Mg/m³. As for the density of states at the Fermi level: 49.41 states/eV per cell.

It has space group R-3m (No. 166, hexagonal axes), with a = 7.5595 Å, b = 7.5595 Å, c = 18.9621 Å, α = 90.00°, β = 90.00° and γ = 120.00°. Symmetry generates all atoms from Cs at (0.0000, 0.0000, 0.1166), Y at (0.0000, 0.0000, 0.5000), Mg at (0.0000, 0.5000, 0.0000), F at (0.0499, 0.5250, 0.1050) and F at (0.0799, 0.5400, 0.3470).

---

A geometry-optimized CsMg2ZnF structure, computed with PBE-GGA.

The calculation puts the uncorrected formation energy at -0.51 eV/atom. The electronic total energy comes out at -1.944 eV per atom. The density comes out at 3.1 Mg/m³. As for the density of states at the Fermi level: 2.80 states/eV per cell.

It has space group P4/mmm (No. 123), with a = 4.8232 Å, b = 4.8232 Å, c = 6.1491 Å, α = 90.00°, β = 90.00° and γ = 90.00°. Symmetry generates all atoms from Cs at (0.0000, 0.0000, 0.0000), Mg at (0.0000, 0.5000, 0.5000), Zn at (0.5000, 0.5000, 0.0000) and F at (0.0000, 0.0000, 0.5000).

---

A geometry-optimized Cs2MgZn3F12 structure, computed with PBE-GGA.

The calculation puts the uncorrected formation energy at -2.43 eV/atom. The electronic total energy comes out at -4.072 eV per atom. The density comes out at 4.1 Mg/m³. As for the density of states at the Fermi level: 23.94 states/eV per cell.

It has space group R-3m (No. 166, hexagonal axes), with a = 7.4768 Å, b = 7.4768 Å, c = 17.8827 Å, α = 90.00°, β = 90.00° and γ = 120.00°. Symmetry generates all atoms from Cs at (0.0000, 0.0000, 0.1258), Mg at (0.0000, 0.0000, 0.5000), Zn at (0.0000, 0.5000, 0.0000), F at (0.0713, 0.5357, 0.1068) and F at (0.0740, 0.5370, 0.3554).

---

A geometry-optimized Cs3MgZn2F9 structure, computed with PBE-GGA.

The calculation puts the uncorrected formation energy at -2.72 eV/atom. The electronic total energy comes out at -4.285 eV per atom. The density comes out at 5.1 Mg/m³. As for the density of states at the Fermi level: 0.00 states/eV per cell.

It has space group P-3m1 (No. 164), with a = 6.0387 Å, b = 6.0387 Å, c = 7.4044 Å, α = 90.00°, β = 90.00° and γ = 120.00°. Symmetry generates all atoms from Cs at (0.0000, 0.0000, 0.0000), Cs at (0.3333, 0.6667, 0.6686), Mg at (0.0000, 0.0000, 0.5000), Zn at (0.3333, 0.6667, 0.1712), F at (0.0000, 0.5000, 0.0000) and F at (0.1653, 0.3305, 0.3356).